Version P
Below is LiTbC after structural relaxation, with properties calculated at the PBE level.

Results
total moment	0.0	μB per cell

abc: 5.7137 5.7137 5.7137
angles: 90.00 90.00 90.00
Space group F-43m (No. 216)
Inequivalent atoms, fractional coordinates:
Li1 0.0000 0.0000 0.0000
Tb1 0.0000 0.0000 0.5000
C1 0.2500 0.2500 0.7500

=====

Version Q
Below is LiTbC after structural relaxation, with properties calculated at the PBE level.

Results
total moment	0.0	μB per cell

abc: 3.9834 3.9834 12.7340
angles: 90.00 90.00 90.00
Space group I4/mmm (No. 139)
Inequivalent atoms, fractional coordinates:
Li1 0.0000 0.0000 0.0817
Tb1 0.0000 0.0000 0.3746
C1 0.0000 0.5000 0.0000

=====

Most stable of them? version P.

=====

Version P
Below is LiTc3C after structural relaxation, with properties calculated at the PBE level.

Results
total moment	0.0	μB per cell

abc: 4.0575 4.0575 4.0575
angles: 90.00 90.00 90.00
Space group Pm-3m (No. 221)
Inequivalent atoms, fractional coordinates:
Li1 0.0000 0.0000 0.0000
Tc1 0.0000 0.5000 0.5000
C1 0.5000 0.5000 0.5000

=====

Version Q
Below is LiTc3C after structural relaxation, with properties calculated at the PBE level.

Results
total moment	1.2	μB per cell

abc: 4.0442 4.0442 4.0442
angles: 90.00 90.00 90.00
Space group Pm-3m (No. 221)
Inequivalent atoms, fractional coordinates:
Li1 0.0000 0.0000 0.0000
Tc1 0.0000 0.0000 0.5000
C1 0.5000 0.5000 0.5000

=====

Most stable of them? version P.

=====

Version P
Below is LiTeC3 after structural relaxation, with properties calculated at the PBE level.

Results
total moment	0.0	μB per cell

abc: 4.2325 4.2325 4.2325
angles: 90.00 90.00 90.00
Space group Pm-3m (No. 221)
Inequivalent atoms, fractional coordinates:
Li1 0.0000 0.0000 0.0000
Te1 0.5000 0.5000 0.5000
C1 0.0000 0.5000 0.5000

=====

Version Q
Below is LiTeC3 after structural relaxation, with properties calculated at the PBE level.

Results
total moment	0.0	μB per cell

abc: 3.8709 3.8709 3.8709
angles: 90.00 90.00 90.00
Space group Pm-3m (No. 221)
Inequivalent atoms, fractional coordinates:
Li1 0.0000 0.0000 0.0000
Te1 0.5000 0.5000 0.5000
C1 0.0000 0.0000 0.5000

=====

Most stable of them? version P.

=====

Version P
Below is LiTh2C after structural relaxation, with properties calculated at the PBE level.

Results
total moment	0.0	μB per cell

abc: 3.6210 3.6210 26.7030
angles: 90.00 90.00 120.00
Space group R3m (No. 160, hexagonal axes)
Inequivalent atoms, fractional coordinates:
Li1 0.0000 0.0000 0.0000
Th1 0.0000 0.0000 0.5532
Th2 0.0000 0.0000 0.7770
C1 0.0000 0.0000 0.1659

=====

Version Q
Below is LiTh2C after structural relaxation, with properties calculated at the PBE level.

Results
total moment	0.0	μB per cell

abc: 3.2067 3.2067 8.6800
angles: 90.00 90.00 90.00
Space group P4/mmm (No. 123)
Inequivalent atoms, fractional coordinates:
Li1 0.0000 0.0000 0.0000
Th1 0.5000 0.5000 0.3251
C1 0.0000 0.0000 0.5000

=====

Most stable of them? version P.

=====

Version P
Below is LiTiC3 after structural relaxation, with properties calculated at the PBE level.

Results
total moment	0.0	μB per cell

abc: 3.5454 3.5454 3.5454
angles: 90.00 90.00 90.00
Space group Pm-3m (No. 221)
Inequivalent atoms, fractional coordinates:
Li1 0.0000 0.0000 0.0000
Ti1 0.5000 0.5000 0.5000
C1 0.0000 0.0000 0.5000

=====

Version Q
Below is LiTiC3 after structural relaxation, with properties calculated at the PBE level.

Results
total moment	0.0	μB per cell

abc: 4.0421 4.0421 4.0421
angles: 90.00 90.00 90.00
Space group Pm-3m (No. 221)
Inequivalent atoms, fractional coordinates:
Li1 0.0000 0.0000 0.0000
Ti1 0.5000 0.5000 0.5000
C1 0.0000 0.5000 0.5000

=====

Most stable of them? version Q.

=====

Version P
Below is Li2TiC2 after structural relaxation, with properties calculated at the PBE level.

Results
total moment	0.0	μB per cell

abc: 6.0993 6.0993 2.3278
angles: 90.00 90.00 90.00
Space group P4/mbm (No. 127)
Inequivalent atoms, fractional coordinates:
Li1 0.1107 0.3893 0.0000
Ti1 0.0000 0.0000 0.0000
C1 0.1877 0.6877 0.5000

=====

Version Q
Below is Li2TiC2 after structural relaxation, with properties calculated at the PBE level.

Results
total moment	0.0	μB per cell

abc: 3.5967 3.5967 6.9413
angles: 90.00 90.00 90.00
Space group I4/mmm (No. 139)
Inequivalent atoms, fractional coordinates:
Li1 0.0000 0.0000 0.1442
Ti1 0.0000 0.0000 0.5000
C1 0.0000 0.5000 0.2500

=====

Most stable of them? version P.

=====

Version P
Below is Li3TiC after structural relaxation, with properties calculated at the PBE level.

Results
total moment	1.9	μB per cell

abc: 5.0231 5.0231 5.0231
angles: 90.00 90.00 90.00
Space group Pm-3m (No. 221)
Inequivalent atoms, fractional coordinates:
Li1 0.0000 0.0000 0.5000
Ti1 0.0000 0.0000 0.0000
C1 0.5000 0.5000 0.5000

=====

Version Q
Below is Li3TiC after structural relaxation, with properties calculated at the PBE level.

Results
total moment	0.0	μB per cell

abc: 3.9564 3.9564 3.9564
angles: 90.00 90.00 90.00
Space group Pm-3m (No. 221)
Inequivalent atoms, fractional coordinates:
Li1 0.0000 0.0000 0.5000
Ti1 0.5000 0.5000 0.5000
C1 0.0000 0.0000 0.0000

=====

Most stable of them? version Q.

=====

Version P
Below is Li3TlC after structural relaxation, with properties calculated at the PBE level.

Results
total moment	0.1	μB per cell

abc: 5.1253 5.1253 5.1253
angles: 90.00 90.00 90.00
Space group Pm-3m (No. 221)
Inequivalent atoms, fractional coordinates:
Li1 0.0000 0.0000 0.5000
Tl1 0.0000 0.0000 0.0000
C1 0.5000 0.5000 0.5000

=====

Version Q
Below is Li3TlC after structural relaxation, with properties calculated at the PBE level.

Results
total moment	0.0	μB per cell

abc: 4.2098 4.2098 4.2098
angles: 90.00 90.00 90.00
Space group Pm-3m (No. 221)
Inequivalent atoms, fractional coordinates:
Li1 0.0000 0.0000 0.5000
Tl1 0.5000 0.5000 0.5000
C1 0.0000 0.0000 0.0000

=====

Most stable of them? version Q.